Below is a relaxed structure of Dy4Ir2Pb5, with properties calculated at the PBE level.

Results
The total energy is -5.517 eV/atom.

The structure in POSCAR format:
```
Dy4Ir2Pb5
1.0
-1.420 -2.901 1.667
6.792 -0.844 4.317
-4.261 5.910 6.657
Dy Ir Pb
4 2 5
Direct
0.500 0.803 0.568
0.500 0.195 0.838
0.500 0.197 0.432
0.500 0.805 0.162
0.000 0.083 0.636
0.000 0.917 0.364
0.000 0.540 0.338
0.000 0.143 0.134
0.000 0.500 0.000
0.000 0.857 0.866
0.000 0.460 0.662
```

Below is a relaxed structure of Dy3IrPb2, with properties calculated at the PBE level.

Results
The calculation puts the energy relative to the lowest polymorph listed for this composition at 112 meV per atom.

The structure in POSCAR format:
```
Dy3IrPb2
1.0
6.239 0.000 0.000
0.000 7.196 -0.119
-3.119 -1.915 7.207
Dy Ir Pb
6 2 4
Direct
0.338 0.250 0.000
0.662 0.750 0.000
0.076 0.101 0.291
0.785 0.399 0.709
0.215 0.601 0.291
0.924 0.899 0.709
0.121 0.750 0.000
0.879 0.250 0.000
0.744 0.535 0.331
0.587 0.035 0.331
0.413 0.965 0.669
0.256 0.465 0.669
```

Below is a relaxed structure of Dy5Ir2Pb2, with properties calculated at the PBE level.

Results
The total energy is -6.011 eV/atom.

The structure in POSCAR format:
```
Dy5Ir2Pb2
1.0
-6.047 -3.359 2.236
-1.671 -2.248 -7.897
4.902 -5.513 4.977
Dy Ir Pb
10 4 4
Direct
0.000 0.000 0.000
0.500 0.500 0.000
0.848 0.794 0.233
0.152 0.440 0.233
0.348 0.940 0.233
0.652 0.294 0.233
0.152 0.206 0.767
0.848 0.560 0.767
0.652 0.060 0.767
0.348 0.706 0.767
0.638 0.873 0.000
0.362 0.127 0.000
0.138 0.627 0.000
0.862 0.373 0.000
0.000 0.215 0.429
0.500 0.715 0.429
0.000 0.785 0.571
0.500 0.285 0.571
```

Below is a relaxed structure of Dy6Ir2Pb, with properties calculated at the PBE level.

Results
The total energy is -6.067 eV/atom.

The structure in POSCAR format:
```
Dy6Ir2Pb
1.0
-2.943 2.612 7.598
-6.182 -0.917 -5.845
3.574 -7.748 0.647
Dy Ir Pb
12 4 2
Direct
0.531 0.713 0.818
0.469 0.287 0.182
0.105 0.287 0.818
0.895 0.713 0.182
0.790 0.762 0.552
0.210 0.238 0.448
0.210 0.762 0.972
0.790 0.238 0.028
0.690 0.359 0.669
0.310 0.641 0.331
0.310 0.979 0.669
0.690 0.021 0.331
0.500 0.369 0.869
0.500 0.631 0.131
0.663 0.000 0.663
0.337 0.000 0.337
0.000 0.500 0.500
0.000 0.000 0.000
```

Below is a relaxed structure of Dy7Ir2Pb2, with properties calculated at the PBE level.

Results
The total energy is -5.701 eV/atom.

The structure in POSCAR format:
```
Dy7Ir2Pb2
1.0
6.824 -0.003 -0.664
0.003 7.192 0.003
-1.088 -0.003 6.770
Dy Ir Pb
7 2 2
Direct
0.000 0.242 0.500
0.500 0.758 0.000
0.000 0.758 0.500
0.500 0.242 0.000
0.000 0.000 0.000
0.500 0.770 0.500
0.500 0.230 0.500
0.717 0.000 0.283
0.283 0.000 0.717
0.811 0.500 0.811
0.189 0.500 0.189
```

Below is a relaxed structure of Dy3IrPb2, with properties calculated at the PBE level.

Results
The calculation puts the energy relative to the lowest polymorph listed for this composition at 0 meV per atom.

The structure in POSCAR format:
```
Dy3IrPb2
1.0
4.408 0.000 0.000
0.000 11.738 0.000
0.000 0.000 12.616
Dy Ir Pb
12 4 8
Direct
0.250 0.368 0.056
0.750 0.632 0.944
0.750 0.868 0.444
0.250 0.132 0.556
0.250 0.712 0.252
0.750 0.288 0.748
0.750 0.212 0.248
0.250 0.788 0.752
0.250 0.461 0.383
0.750 0.539 0.617
0.750 0.961 0.117
0.250 0.039 0.883
0.250 0.131 0.123
0.750 0.869 0.877
0.750 0.631 0.377
0.250 0.369 0.623
0.250 0.697 0.515
0.750 0.303 0.485
0.750 0.197 0.985
0.250 0.803 0.015
0.250 0.002 0.316
0.750 0.998 0.684
0.750 0.502 0.184
0.250 0.498 0.816
```

Below is a relaxed structure of Dy5Ir4Pb, with properties calculated at the PBE level.

Results
The total energy is -6.975 eV/atom.

The structure in POSCAR format:
```
Dy5Ir4Pb
1.0
3.349 0.000 0.000
0.000 3.349 0.000
0.000 0.000 19.380
Dy Ir Pb
5 4 1
Direct
0.500 0.500 0.131
0.500 0.500 0.315
0.500 0.500 0.500
0.500 0.500 0.685
0.500 0.500 0.869
0.000 0.000 0.220
0.000 0.000 0.407
0.000 0.000 0.593
0.000 0.000 0.780
0.000 0.000 0.000
```

Below is a relaxed structure of Dy2IrPb2, with properties calculated at the PBE level.

Results
The total energy is -5.552 eV/atom.

The structure in POSCAR format:
```
Dy2IrPb2
1.0
-2.695 -2.057 -0.865
1.711 -1.033 -2.873
4.889 -6.539 7.395
Dy Ir Pb
2 1 2
Direct
0.576 0.576 0.152
0.424 0.424 0.848
0.000 0.000 0.000
0.808 0.808 0.617
0.192 0.192 0.383
```